# 1
Here is AlTc2Br at its PBEsol-relaxed geometry from the Alexandria database. Energies are from SCAN.

Computed properties:
Size of the total moment   0.37 μB per atom
Symmetry   No. 216
E   -93.871 eV per cell

a b c (Å): 4.436 4.436 4.436
angles (deg): 60.00 60.00 60.00
Sites, in units of the cell vectors:
Al: 0.000 0.000 0.000
Tc: 0.500 0.500 0.500
Tc: 0.750 0.750 0.750
Br: 0.250 0.250 0.250

# 2
Here is AlTeBr2 at its PBEsol-relaxed geometry from the Alexandria database. Energies are from SCAN.

Computed properties:
Size of the total moment   0.00 μB per atom
Symmetry   No. 69
E   -83.919 eV per cell

a b c (Å): 5.811 5.664 4.903
angles (deg): 66.27 63.16 50.57
Sites, in units of the cell vectors:
Al: 0.000 0.000 0.000
Te: 0.500 0.500 0.500
Br: 0.000 0.500 0.500
Br: 0.500 0.000 0.000

# 3
Here is AlTeBr2 at its PBEsol-relaxed geometry from the Alexandria database. Energies are from SCAN.

Computed properties:
Size of the total moment   0.08 μB per atom
Symmetry   No. 166
E   -84.883 eV per cell

a b c (Å): 9.767 9.767 9.767
angles (deg): 20.68 20.68 20.68
Sites, in units of the cell vectors:
Al: 0.000 0.000 0.000
Te: 0.500 0.500 0.500
Br: 0.277 0.277 0.277
Br: 0.723 0.723 0.723

# 4
Here is AlTeBr2 at its PBEsol-relaxed geometry from the Alexandria database. Energies are from SCAN.

Computed properties:
Size of the total moment   0.00 μB per atom
Symmetry   No. 123
E   -84.286 eV per cell

a b c (Å): 3.253 3.253 9.656
angles (deg): 90.00 90.00 90.00
Sites, in units of the cell vectors:
Al: 0.000 0.000 0.000
Te: 0.000 0.000 0.500
Br: 0.500 0.500 0.168
Br: 0.500 0.500 0.832

# 5
Here is TiAl2Br8 at its PBEsol-relaxed geometry from the Alexandria database. Energies are from SCAN.

Computed properties:
Size of the total moment   0.18 μB per atom
Symmetry   No. 58
E   -401.604 eV per cell

a b c (Å): 6.403 13.513 10.469
angles (deg): 90.00 90.00 90.00
Sites, in units of the cell vectors:
Ti: 0.000 0.000 0.000
Ti: 0.500 0.500 0.500
Al: 0.110 0.322 0.500
Al: 0.390 0.822 0.000
Al: 0.610 0.178 0.000
Al: 0.890 0.678 0.500
Br: 0.196 0.160 0.500
Br: 0.240 0.167 0.000
Br: 0.246 0.910 0.174
Br: 0.246 0.910 0.826
Br: 0.254 0.410 0.326
Br: 0.254 0.410 0.674
Br: 0.260 0.667 0.500
Br: 0.304 0.660 0.000
Br: 0.696 0.340 0.000
Br: 0.740 0.333 0.500
Br: 0.746 0.590 0.326
Br: 0.746 0.590 0.674
Br: 0.754 0.090 0.174
Br: 0.754 0.090 0.826
Br: 0.760 0.833 0.000
Br: 0.804 0.840 0.500

# 6
Here is TiAl2Br8 at its PBEsol-relaxed geometry from the Alexandria database. Energies are from SCAN.

Computed properties:
Size of the total moment   0.18 μB per atom
Symmetry   No. 15
E   -401.828 eV per cell

a b c (Å): 9.989 9.989 12.349
angles (deg): 126.35 126.35 48.31
Sites, in units of the cell vectors:
Ti: 0.002 0.998 0.750
Ti: 0.998 0.002 0.250
Al: 0.161 0.669 0.970
Al: 0.331 0.839 0.530
Al: 0.669 0.161 0.470
Al: 0.839 0.331 0.030
Br: 0.146 0.163 0.025
Br: 0.153 0.675 0.778
Br: 0.155 0.701 0.310
Br: 0.163 0.146 0.525
Br: 0.299 0.845 0.190
Br: 0.316 0.361 0.949
Br: 0.325 0.847 0.722
Br: 0.361 0.316 0.449
Br: 0.639 0.684 0.551
Br: 0.675 0.153 0.278
Br: 0.684 0.639 0.051
Br: 0.701 0.155 0.810
Br: 0.837 0.854 0.475
Br: 0.845 0.299 0.690
Br: 0.847 0.325 0.222
Br: 0.854 0.837 0.975

# 7
Here is Al2TlBr at its PBEsol-relaxed geometry from the Alexandria database. Energies are from SCAN.

Computed properties:
Size of the total moment   0.00 μB per atom
Symmetry   No. 123
E   -106.412 eV per cell

a b c (Å): 5.281 5.281 3.290
angles (deg): 90.00 90.00 90.00
Sites, in units of the cell vectors:
Al: 0.000 0.500 0.000
Al: 0.500 0.000 0.000
Tl: 0.000 0.000 0.500
Br: 0.500 0.500 0.500

# 8
Here is AlTlBr2 at its PBEsol-relaxed geometry from the Alexandria database. Energies are from SCAN.

Computed properties:
Size of the total moment   0.00 μB per atom
Symmetry   No. 225
E   -120.723 eV per cell

a b c (Å): 5.395 5.395 5.395
angles (deg): 60.00 60.00 60.00
Sites, in units of the cell vectors:
Al: 0.000 0.000 0.000
Tl: 0.500 0.500 0.500
Br: 0.250 0.250 0.250
Br: 0.750 0.750 0.750

# 9
Here is AlTlBr at its PBEsol-relaxed geometry from the Alexandria database. Energies are from SCAN.

Computed properties:
Size of the total moment   0.18 μB per atom
Symmetry   No. 216
E   -99.076 eV per cell

a b c (Å): 5.022 5.022 5.022
angles (deg): 60.00 60.00 60.00
Sites, in units of the cell vectors:
Al: 0.000 0.000 0.000
Tl: 0.250 0.250 0.250
Br: 0.750 0.750 0.750

# 10
Here is AlTlBr at its PBEsol-relaxed geometry from the Alexandria database. Energies are from SCAN.

Computed properties:
Size of the total moment   0.00 μB per atom
Symmetry   No. 107
E   -99.695 eV per cell

a b c (Å): 6.339 6.339 6.339
angles (deg): 146.91 146.91 47.50
Sites, in units of the cell vectors:
Al: 0.000 0.000 0.000
Tl: 0.345 0.345 0.000
Br: 0.633 0.633 0.000

# 11
Here is AlW2Br at its PBEsol-relaxed geometry from the Alexandria database. Energies are from SCAN.

Computed properties:
Size of the total moment   0.00 μB per atom
Symmetry   No. 123
E   -162.007 eV per cell

a b c (Å): 4.648 4.648 2.893
angles (deg): 90.00 90.00 90.00
Sites, in units of the cell vectors:
Al: 0.000 0.000 0.000
W: 0.000 0.500 0.500
W: 0.500 0.000 0.500
Br: 0.500 0.500 0.000

# 12
Here is AlWBr at its PBEsol-relaxed geometry from the Alexandria database. Energies are from SCAN.

Computed properties:
Size of the total moment   0.00 μB per atom
Symmetry   No. 216
E   -91.625 eV per cell

a b c (Å): 4.413 4.413 4.413
angles (deg): 60.00 60.00 60.00
Sites, in units of the cell vectors:
Al: 0.000 0.000 0.000
W: 0.250 0.250 0.250
Br: 0.750 0.750 0.750